Record 1
The following is a PBE calculation of a geometry-optimized YSi2Sb2 structure, from Alexandria via LeMat-Bulk.

It has space group I4/mmm (No. 139), with a = 4.250 Å, b = 4.250 Å, c = 13.577 Å, α = 90.00°, β = 90.00° and γ = 90.00°. Symmetry generates all atoms from Y at (0.000, 0.000, 0.000), Si at (0.000, 0.000, 0.416) and Sb at (0.000, 0.500, 0.250).

The value obtained for the formation energy from raw total energies is 41 kJ/mol of formula units. The total moment is 0.00 μB per formula unit. The crystal system is tetragonal. The value obtained for the total energy is -50.26 eV for the cell shown. The value obtained for the polymorph energy (0 for the lowest one) is 181.5 meV/atom.

Record 2
The following is a PBE calculation of a geometry-optimized Rb2AlHg4 structure, from Alexandria via LeMat-Bulk.

It has space group I4/mmm (No. 139), with a = 5.336 Å, b = 5.336 Å, c = 18.658 Å, α = 90.00°, β = 90.00° and γ = 90.00°. Symmetry generates all atoms from Rb at (0.000, 0.000, 0.145), Al at (0.000, 0.000, 0.500), Hg at (0.000, 0.000, 0.341) and Hg at (0.000, 0.500, 0.000).

The total moment is 0.00 μB per formula unit. The crystal system is tetragonal. The value obtained for the total energy is -15.41 eV for the cell shown. As for the formation energy: -0.117 eV per atom.

Record 3
The following is a PBE calculation of a geometry-optimized SeClF3 structure, from Alexandria via LeMat-Bulk.

It has space group P4_1 (No. 76), with a = 6.217 Å, b = 6.217 Å, c = 11.146 Å, α = 90.00°, β = 90.00° and γ = 90.00°. Symmetry generates all atoms from Se at (0.144, 0.351, 0.000), Cl at (0.100, 0.633, 0.109), F at (0.019, 0.818, 0.608), F at (0.092, 0.620, 0.415) and F at (0.285, 0.514, 0.881).

The value obtained for the formation energy from raw total energies is -663 kJ/mol of formula units. The total moment is 0.00 μB per formula unit. The crystal system is tetragonal. The value obtained for the total energy is -71.27 eV for the cell shown. The value obtained for the polymorph energy (0 for the lowest one) is 0.0 meV/atom.

Record 4
The following is a PBE calculation of a geometry-optimized Sc4TeSe2 structure, from Alexandria via LeMat-Bulk.

It has space group I4/mmm (No. 139), with a = 5.297 Å, b = 5.297 Å, c = 13.842 Å, α = 90.00°, β = 90.00° and γ = 90.00°. Symmetry generates all atoms from Sc at (0.000, 0.000, 0.209), Sc at (0.000, 0.500, 0.000), Te at (0.000, 0.000, 0.000) and Se at (0.000, 0.000, 0.390).

The value obtained for the formation energy from raw total energies is -342 kJ/mol of formula units. The total moment is 0.02 μB per formula unit. The crystal system is tetragonal. The value obtained for the total energy is -77.95 eV for the cell shown. The value obtained for the polymorph energy (0 for the lowest one) is 715.5 meV/atom.

Record 5
The following is a PBE calculation of a geometry-optimized LaPuInPb structure, from Alexandria via LeMat-Bulk.

It has space group F-43m (No. 216), with a = 7.833 Å, b = 7.833 Å, c = 7.833 Å, α = 90.00°, β = 90.00° and γ = 90.00°. Symmetry generates all atoms from La at (0.000, 0.000, 0.000), Pu at (0.000, 0.000, 0.500), In at (0.250, 0.250, 0.250) and Pb at (0.250, 0.250, 0.750).

The total moment is 6.13 μB per formula unit. The crystal system is cubic. The value obtained for the total energy is -107.31 eV for the cell shown. As for the formation energy: -0.280 eV per atom.

Record 6
The following is a PBE calculation of a geometry-optimized CsI2Br2 structure, from Alexandria via LeMat-Bulk.

It has space group P4/mbm (No. 127), with a = 9.865 Å, b = 9.865 Å, c = 4.463 Å, α = 90.00°, β = 90.00° and γ = 90.00°. Symmetry generates all atoms from Cs at (0.000, 0.000, 0.000), I at (0.098, 0.402, 0.000) and Br at (0.229, 0.729, 0.500).

The value obtained for the formation energy from raw total energies is -261 kJ/mol of formula units. The total moment is 1.00 μB per formula unit. The crystal system is tetragonal. The value obtained for the total energy is -20.00 eV for the cell shown. The value obtained for the polymorph energy (0 for the lowest one) is 8.1 meV/atom.

Record 7
The following is a PBE calculation of a geometry-optimized SrMg2Pd structure, from Alexandria via LeMat-Bulk.

It has space group R-3m (No. 166, hexagonal axes), with a = 4.6220 Å, b = 4.6220 Å, c = 17.5453 Å, α = 90.00°, β = 90.00° and γ = 120.00°. Symmetry generates all atoms from Sr at (0.0000, 0.0000, 0.0000), Mg at (0.0000, 0.0000, 0.2022) and Pd at (0.0000, 0.0000, 0.5000).

The total moment is 0.00 μB per formula unit. The crystal system is trigonal. The value obtained for the total energy is -34.07 eV for the cell shown. As for the formation energy: -0.323 eV per atom.

Record 8
The following is a PBE calculation of a geometry-optimized MnPBr2 structure, from Alexandria via LeMat-Bulk.

It has space group Cmm2 (No. 35), with a = 3.644 Å, b = 5.098 Å, c = 10.532 Å, α = 90.00°, β = 90.00° and γ = 90.00°. Symmetry generates all atoms from Mn at (0.000, 0.000, 0.000), P at (0.000, 0.500, 0.137), Br at (0.000, 0.000, 0.463) and Br at (0.000, 0.500, 0.826).

The value obtained for the formation energy from raw total energies is 55 kJ/mol of formula units. The total moment is 3.27 μB per formula unit. The crystal system is orthorhombic. The value obtained for the total energy is -34.70 eV for the cell shown. The value obtained for the polymorph energy (0 for the lowest one) is 356.7 meV/atom.